The following is a GGA-PBE calculation of a geometry-optimized Li2ErTl2Cd2 structure, from Alexandria via LeMat-Bulk.

Cell: 8.0955 8.0955 8.0955 Å, 35.25 35.25 35.25°
Closest atoms and distances in Å follow each position.
Fractional coordinates of all 7 atoms:
Li  0.1437  0.1437  0.1437  1 Tl 2.94, 3 Cd 3.00, 3 Li 3.02, 1 Er 3.27
Li  0.8563  0.8563  0.8563  1 Tl 2.94, 3 Cd 3.00, 3 Li 3.02, 1 Er 3.27
Er  0.0000  0.0000  0.0000  6 Tl 3.15, 2 Li 3.27
Tl  0.2727  0.2727  0.2727  1 Li 2.94, 3 Cd 2.97, 3 Er 3.15
Tl  0.7273  0.7273  0.7273  1 Li 2.94, 3 Cd 2.97, 3 Er 3.15
Cd  0.4338  0.4338  0.4338  3 Tl 2.97, 3 Li 3.00, 1 Cd 3.01
Cd  0.5662  0.5662  0.5662  3 Tl 2.97, 3 Li 3.00, 1 Cd 3.01

Spin magnetization (μB per cell): 0.00
Calculated total energy (eV/atom): -2.352

***

The following is a GGA-PBE calculation of a geometry-optimized TmMnBeSi2 structure, from Alexandria via LeMat-Bulk.

Cell: 3.8160 3.8160 10.2819 Å, 90.00 90.00 90.00°
Closest atoms and distances in Å follow each position.
Fractional coordinates of all 10 atoms:
Tm  0.0000  0.0000  0.0000  8 Si 2.95, 4 Mn 3.20, 4 Be 3.20
Tm  0.5000  0.5000  0.5000  8 Si 2.95, 4 Mn 3.20, 4 Be 3.20
Mn  0.0000  0.5000  0.2500  4 Si 2.35
Mn  0.5000  0.0000  0.7500  4 Si 2.35
Be  0.0000  0.5000  0.7500  4 Si 2.35
Be  0.5000  0.0000  0.2500  4 Si 2.35
Si  0.0000  0.0000  0.3832  2 Mn 2.35, 2 Be 2.35, 1 Si 2.40
Si  0.0000  0.0000  0.6168  2 Mn 2.35, 2 Be 2.35, 1 Si 2.40
Si  0.5000  0.5000  0.1168  2 Mn 2.35, 2 Be 2.35, 1 Si 2.40
Si  0.5000  0.5000  0.8832  2 Mn 2.35, 2 Be 2.35, 1 Si 2.40

Uncorrected formation energy (eV/atom): -0.501
Spin magnetization (μB per cell): 5.15

***

The following is a GGA-PBE calculation of a geometry-optimized EuWC2 structure, from Alexandria via LeMat-Bulk.

Cell: 3.2245 3.2245 17.4125 Å, 90.00 90.00 120.00°
Closest atoms and distances in Å follow each position.
Fractional coordinates of all 12 atoms:
Eu  0.0000  0.0000  0.0000  6 C 2.54
Eu  0.3333  0.6667  0.6667  6 C 2.54
Eu  0.6667  0.3333  0.3333  6 C 2.54
W  0.0000  0.0000  0.5000  6 C 2.20
W  0.3333  0.6667  0.1667  6 C 2.20
W  0.6667  0.3333  0.8333  6 C 2.20
C  0.0000  0.0000  0.2338  3 W 2.20
C  0.0000  0.0000  0.7662  3 W 2.20
C  0.3333  0.6667  0.4328  3 W 2.20
C  0.3333  0.6667  0.9005  3 W 2.20
C  0.6667  0.3333  0.0995  3 W 2.20
C  0.6667  0.3333  0.5672  3 W 2.20

Spin magnetization (μB per cell): 19.96
Calculated total energy (eV/atom): -10.255

***

The following is a GGA-PBE calculation of a geometry-optimized SrDyInHg structure, from Alexandria via LeMat-Bulk.

Cell: 3.8302 3.8302 7.9734 Å, 90.00 90.00 90.00°
Closest atoms and distances in Å follow each position.
Fractional coordinates of all 4 atoms:
Sr  0.0000  0.0000  0.0000  4 Hg 3.49, 4 In 3.52, 4 Sr 3.83, 1 Dy 3.88
Dy  0.0000  0.0000  0.5135  4 Hg 3.19, 4 In 3.28
In  0.5000  0.5000  0.2816  4 Dy 3.28, 4 Sr 3.52, 1 Hg 3.53
Hg  0.5000  0.5000  0.7240  4 Dy 3.19, 4 Sr 3.49, 1 In 3.53

Relative energy among the computed polymorphs (kJ/mol of formula units): 0
Spin magnetization (μB per cell): 0.07